Entry 1:
Density functional theory data (GGA-PBE) for La2YSe after structural relaxation.

a = 9.2398 Å, b = 9.2398 Å, c = 5.9867 Å
α = 90.00°, β = 90.00°, γ = 90.00°
Space group I-42d (No. 122)
One atom of each set of equivalent atoms:
1 La 0.1882 0.2500 0.1250 x8
2 Y 0.0000 0.0000 0.5000 x4
3 Se 0.0000 0.0000 0.0000 x4

Summary:
- formation energy from raw total energies (eV/atom) = -0.59
- calculated volume (A^3/atom) = 31.944
- size of the total moment (μB per cell) = 0.0
- Fermi-level density of states (states/eV per cell) = 22.38

---

Entry 2:
Density functional theory data (GGA-PBE) for Bi4PtRh2 after structural relaxation.

a = 8.1335 Å, b = 8.8212 Å, c = 9.4847 Å
α = 90.00°, β = 90.00°, γ = 90.00°
Space group Imm2 (No. 44)
One atom of each set of equivalent atoms:
1 Bi 0.0000 0.1891 0.0000 x4
2 Bi 0.0000 0.2968 0.4113 x4
3 Bi 0.2112 0.5000 0.8044 x4
4 Bi 0.2136 0.0000 0.7182 x4
5 Pt 0.0000 0.0000 0.4847 x2
6 Pt 0.0000 0.5000 0.0483 x2
7 Rh 0.0000 0.2655 0.7032 x4
8 Rh 0.2163 0.5000 0.5249 x4

Summary:
- calculated volume (A^3/atom) = 24.304
- distance to the lowest polymorph of the same formula (meV per atom) = 54
- size of the total moment (μB per cell) = 0.0
- Fermi-level density of states (states/eV per cell) = 13.30

---

Entry 3:
Density functional theory data (GGA-PBE) for NbGaSn after structural relaxation.

a = 12.8962 Å, b = 3.8248 Å, c = 7.3682 Å
α = 90.00°, β = 90.00°, γ = 90.00°
Space group Pmma (No. 51)
One atom of each set of equivalent atoms:
1 Nb 0.0923 0.0000 0.1055 x4
2 Nb 0.2500 0.5000 0.5264 x2
3 Ga 0.1006 0.0000 0.4771 x4
4 Ga 0.2500 0.0000 0.8129 x2
5 Sn 0.0730 0.5000 0.7868 x4
6 Sn 0.2500 0.5000 0.1473 x2

Summary:
- calculated volume (A^3/atom) = 20.191
- distance to the lowest polymorph of the same formula (meV per atom) = 0
- size of the total moment (μB per cell) = 0.0
- Fermi-level density of states (states/eV per cell) = 13.29

---

Entry 4:
Density functional theory data (GGA-PBE) for PmSm4Dy2Y2 after structural relaxation.

a = 15.2761 Å, b = 5.0817 Å, c = 8.0477 Å
α = 90.00°, β = 108.40°, γ = 90.00°
Space group C2/m (No. 12)
One atom of each set of equivalent atoms:
1 Pm 0.0000 0.0000 0.0000 x2
2 Sm 0.0552 0.5000 0.3318 x4
3 Sm 0.2224 0.0000 0.3324 x4
4 Dy 0.1675 0.5000 0.0001 x4
5 Y 0.1115 0.0000 0.6674 x4

Summary:
- calculated volume (A^3/atom) = 32.933
- uncorrected energy (eV per atom) = -5.07
- size of the total moment (μB per cell) = 0.0
- Fermi-level density of states (states/eV per cell) = 25.73

---

Entry 5:
Density functional theory data (GGA-PBE) for Pm2MgIn3 after structural relaxation.

a = 7.3640 Å, b = 10.0065 Å, c = 17.2846 Å
α = 90.00°, β = 90.00°, γ = 90.00°
Space group Fmmm (No. 69)
One atom of each set of equivalent atoms:
1 Pm 0.2481 0.0000 0.0000 x8
2 Pm 0.2500 0.2500 0.2500 x8
3 Mg 0.0000 0.0000 0.3327 x8
4 In 0.0000 0.0000 0.1681 x8
5 In 0.0000 0.2479 0.4158 x16

Summary:
- calculated volume (A^3/atom) = 26.535
- uncorrected energy (eV per atom) = -3.66
- size of the total moment (μB per cell) = 0.0
- Fermi-level density of states (states/eV per cell) = 31.06

---

Entry 6:
Density functional theory data (GGA-PBE) for TaVTc2H after structural relaxation.

a = 4.3344 Å, b = 4.3344 Å, c = 3.3135 Å
α = 90.00°, β = 90.00°, γ = 90.00°
Space group P4/mmm (No. 123)
One atom of each set of equivalent atoms:
1 Ta 0.0000 0.0000 0.0000 x1
2 V 0.5000 0.5000 0.0000 x1
3 Tc 0.0000 0.5000 0.5000 x2
4 H 0.5000 0.5000 0.5000 x1

Summary:
- calculated volume (A^3/atom) = 12.450
- uncorrected energy (eV per atom) = -9.15
- size of the total moment (μB per cell) = 0.0
- Fermi-level density of states (states/eV per cell) = 2.84